Here is a relaxed structure of Hg2Mo3 from the Alexandria database. Energies are from PBE.

Computed properties:
- Energy above the most stable polymorph in this dataset: 3 meV/atom
- Total DFT energy (no corrections): -6.036 eV/atom
- DOS(E_F): 0.712 states/eV per atom
- Formation energy: 0.584 eV per atom
- Total magnetization: 0.0 Bohr magnetons per cell
- Symmetry: Fdd2 (43)

a b c (Å): 7.3948 5.5944 8.4007
angles (deg): 59.87 40.87 79.27
With the nearest neighbours (Å) after each atom.
Atoms (fractional coordinates):
Hg (0.2467, 0.7533, 0.3534)  9 Mo 2.88-3.13
Hg (0.6034, 0.8966, 0.4967)  9 Mo 2.88-3.13
Hg (0.7533, 0.2467, 0.6466)  9 Mo 2.88-3.13
Hg (0.8966, 0.6034, 0.0033)  9 Mo 2.88-3.13
Mo (0.1607, 0.8568, 0.0417)  1 Mo 2.47
Mo (0.2083, 0.3091, 0.0893)  1 Mo 2.47
Mo (0.3091, 0.2083, 0.3932)  1 Mo 2.47
Mo (0.3651, 0.3651, 0.6349)  2 Mo 2.47
Mo (0.6151, 0.6151, 0.8849)  2 Mo 2.47
Mo (0.8568, 0.1607, 0.9409)  1 Mo 2.47